(1)
# LaTl2Os meta-GGA SCAN single point on PBEsol structure
data_LaTl2Os
_cell_length_a 7.075
_cell_length_b 7.075
_cell_length_c 7.075
_cell_angle_alpha 90.00
_cell_angle_beta 90.00
_cell_angle_gamma 90.00
_space_group_name_H-M_alt 'F m -3 m'
_space_group_IT_number 225
_space_group_name_Hall '-F 4 2 3'
loop_
_atom_site_label
_atom_site_type_symbol
_atom_site_fract_x
_atom_site_fract_y
_atom_site_fract_z
_atom_site_occupancy
La1 La 0.000 0.000 0.000 1
Tl1 Tl 0.250 0.250 0.250 1
Os1 Os 0.000 0.000 0.500 1
# - distance to the lowest polymorph of the same formula (eV per atom) = 0.000
# - energy relative to the elements (meV per atom) = 243.2

(2)
# LaTl2Os meta-GGA SCAN single point on PBEsol structure
data_LaTl2Os
_cell_length_a 4.832
_cell_length_b 4.832
_cell_length_c 7.878
_cell_angle_alpha 90.00
_cell_angle_beta 90.00
_cell_angle_gamma 90.00
_space_group_name_H-M_alt 'I -4 m 2'
_space_group_IT_number 119
_space_group_name_Hall 'I -4 -2'
loop_
_atom_site_label
_atom_site_type_symbol
_atom_site_fract_x
_atom_site_fract_y
_atom_site_fract_z
_atom_site_occupancy
La1 La 0.000 0.000 0.000 1
Tl1 Tl 0.000 0.000 0.500 1
Tl2 Tl 0.000 0.500 0.750 1
Os1 Os 0.000 0.500 0.250 1
# - distance to the lowest polymorph of the same formula (eV per atom) = 0.145
# - energy relative to the elements (meV per atom) = 387.9

(3)
# La2TlOs meta-GGA SCAN single point on PBEsol structure
data_La2TlOs
_cell_length_a 3.422
_cell_length_b 3.422
_cell_length_c 8.856
_cell_angle_alpha 90.00
_cell_angle_beta 90.00
_cell_angle_gamma 90.00
_space_group_name_H-M_alt 'P 4/m m m'
_space_group_IT_number 123
_space_group_name_Hall '-P 4 2'
loop_
_atom_site_label
_atom_site_type_symbol
_atom_site_fract_x
_atom_site_fract_y
_atom_site_fract_z
_atom_site_occupancy
La1 La 0.000 0.000 0.200 1
Tl1 Tl 0.500 0.500 0.500 1
Os1 Os 0.500 0.500 0.000 1
# - energy relative to the elements (meV per atom) = -339.5

(4)
# LaOs2W2 meta-GGA SCAN single point on PBEsol structure
data_LaOs2W2
_cell_length_a 4.345
_cell_length_b 4.345
_cell_length_c 10.525
_cell_angle_alpha 90.00
_cell_angle_beta 90.00
_cell_angle_gamma 90.00
_space_group_name_H-M_alt 'I 4/m m m'
_space_group_IT_number 139
_space_group_name_Hall '-I 4 2'
loop_
_atom_site_label
_atom_site_type_symbol
_atom_site_fract_x
_atom_site_fract_y
_atom_site_fract_z
_atom_site_occupancy
La1 La 0.000 0.000 0.000 1
Os1 Os 0.000 0.000 0.373 1
W1 W 0.000 0.500 0.250 1
# - distance to the lowest polymorph of the same formula (eV per atom) = 0.000
# - energy relative to the elements (meV per atom) = -131.1

(5)
# LaOs2W2 meta-GGA SCAN single point on PBEsol structure
data_LaOs2W2
_cell_length_a 4.292
_cell_length_b 4.292
_cell_length_c 10.781
_cell_angle_alpha 90.00
_cell_angle_beta 90.00
_cell_angle_gamma 90.00
_space_group_name_H-M_alt 'I 4/m m m'
_space_group_IT_number 139
_space_group_name_Hall '-I 4 2'
loop_
_atom_site_label
_atom_site_type_symbol
_atom_site_fract_x
_atom_site_fract_y
_atom_site_fract_z
_atom_site_occupancy
La1 La 0.000 0.000 0.000 1
Os1 Os 0.000 0.500 0.250 1
W1 W 0.000 0.000 0.374 1
# - distance to the lowest polymorph of the same formula (eV per atom) = 0.266
# - energy relative to the elements (meV per atom) = 135.4

(6)
# La2OsW meta-GGA SCAN single point on PBEsol structure
data_La2OsW
_cell_length_a 10.144
_cell_length_b 3.004
_cell_length_c 5.343
_cell_angle_alpha 90.00
_cell_angle_beta 95.69
_cell_angle_gamma 90.00
_space_group_name_H-M_alt 'C 1 2/m 1'
_space_group_IT_number 12
loop_
_space_group_symop_operation_xyz
'x,y,z'
'-x,-y,-z'
'-x,y,-z'
'x,-y,z'
'x+1/2,y+1/2,z'
'-x+1/2,-y+1/2,-z'
'-x+1/2,y+1/2,-z'
'x+1/2,-y+1/2,z'
loop_
_atom_site_label
_atom_site_type_symbol
_atom_site_fract_x
_atom_site_fract_y
_atom_site_fract_z
_atom_site_occupancy
La1 La 0.246 0.000 0.240 1
Os1 Os 0.000 0.000 0.000 1
W1 W 0.000 0.500 0.500 1
# - energy relative to the elements (meV per atom) = 894.7

The raw total energy results, record by record, are as follows: -64.68, -64.54, -57.95, -65.38, -65.11, -56.05 eV per atom.